This record from Alexandria describes a relaxed AcTmPd4 crystal. The functional is GGA-PBE.

Computed properties:
- Calculated total energy: -5.742 eV/atom
- V: 21.016 A^3/atom
- M_tot: 0.00 μB/f.u.
- DFT formation energy: -850.3 meV/atom
- Fermi-level density of states: 1.27 states/eV/f.u.

Lattice parameters (Å, degrees): 10.386 10.386 5.793 90.00 90.00 156.19
Fractional positions:
Ac  0.217  0.783  0.750
Ac  0.783  0.217  0.250
Tm  0.071  0.929  0.250
Tm  0.929  0.071  0.750
Pd  0.068  0.932  0.750
Pd  0.360  0.640  0.001
Pd  0.360  0.640  0.499
Pd  0.500  0.500  0.000
Pd  0.500  0.500  0.500
Pd  0.640  0.360  0.501
Pd  0.640  0.360  0.999
Pd  0.932  0.068  0.250